12
Lattice="-3.469 3.469 3.161 3.469 -3.469 3.161 3.469 3.469 -3.161" Properties=species:S:1:pos:R:3 comment="GGA+U YV2CrO8, optimized geometry" spacegroup=I-4m2 e_tot_ev_per_atom=-7.8309 vol_a3_per_atom=12.68 pbc="T T T"
Y 0.000 0.000 0.000
V 0.000 0.000 3.161
V 0.000 3.469 1.580
Cr 3.469 0.000 1.580
O 2.095 3.469 -1.098
O 1.374 0.000 2.063
O 0.000 2.172 0.445
O 3.469 2.095 1.098
O 0.000 4.766 0.445
O 0.000 1.374 4.259
O -1.297 3.469 2.715
O 1.297 3.469 2.715